[1]
## SrNd2Mg (GGA-PBE)

Data for a relaxed SrNd2Mg crystal.

- Mass density: 4.51 Mg/m³
- ΔH_f (0 K): 0.23 eV/atom

Cell and atoms, written as CIF:
```
data_SrNd2Mg
_chemical_formula_sum 'Sr3 Nd6 Mg3'
_symmetry_space_group_name_H-M 'P 1'
_symmetry_Int_Tables_number 1
_cell_length_a 3.6523
_cell_length_b 3.6523
_cell_length_c 38.2807
_cell_angle_alpha 90.00
_cell_angle_beta 90.00
_cell_angle_gamma 120.00
loop_
_symmetry_equiv_pos_as_xyz
'x,y,z'
loop_
_atom_site_label
_atom_site_fract_x
_atom_site_fract_y
_atom_site_fract_z
_atom_site_occupancy
Sr1 0.0000 0.0000 0.0000 1
Sr2 0.3333 0.6667 0.6667 1
Sr3 0.6667 0.3333 0.3333 1
Nd1 0.0000 0.0000 0.0969 1
Nd2 0.0000 0.0000 0.9031 1
Nd3 0.3333 0.6667 0.5697 1
Nd4 0.3333 0.6667 0.7636 1
Nd5 0.6667 0.3333 0.2364 1
Nd6 0.6667 0.3333 0.4303 1
Mg1 0.0000 0.0000 0.5000 1
Mg2 0.3333 0.6667 0.1667 1
Mg3 0.6667 0.3333 0.8333 1
```

***

[2]
## Sr2NdMg (GGA-PBE)

Data for a relaxed Sr2NdMg crystal.

- Mass density: 3.52 Mg/m³
- ΔH_f (0 K): 0.15 eV/atom

Cell and atoms, written as CIF:
```
data_Sr2NdMg
_chemical_formula_sum 'Sr6 Nd3 Mg3'
_symmetry_space_group_name_H-M 'P 1'
_symmetry_Int_Tables_number 1
_cell_length_a 3.9280
_cell_length_b 3.9280
_cell_length_c 36.4220
_cell_angle_alpha 90.00
_cell_angle_beta 90.00
_cell_angle_gamma 120.00
loop_
_symmetry_equiv_pos_as_xyz
'x,y,z'
loop_
_atom_site_label
_atom_site_fract_x
_atom_site_fract_y
_atom_site_fract_z
_atom_site_occupancy
Sr1 0.0000 0.0000 0.0000 1
Sr2 0.0000 0.0000 0.1762 1
Sr3 0.3333 0.6667 0.6667 1
Sr4 0.3333 0.6667 0.8429 1
Sr5 0.6667 0.3333 0.3333 1
Sr6 0.6667 0.3333 0.5096 1
Nd1 0.0000 0.0000 0.4217 1
Nd2 0.3333 0.6667 0.0884 1
Nd3 0.6667 0.3333 0.7551 1
Mg1 0.0000 0.0000 0.5880 1
Mg2 0.3333 0.6667 0.2547 1
Mg3 0.6667 0.3333 0.9213 1
```

***

[3]
## Sr2NdMg (GGA-PBE)

Data for a relaxed Sr2NdMg crystal.

- Mass density: 3.58 Mg/m³
- ΔH_f (0 K): 0.12 eV/atom

Cell and atoms, written as CIF:
```
data_Sr2NdMg
_chemical_formula_sum 'Sr2 Nd1 Mg1'
_symmetry_space_group_name_H-M 'P 1'
_symmetry_Int_Tables_number 1
_cell_length_a 4.4466
_cell_length_b 4.4466
_cell_length_c 8.0753
_cell_angle_alpha 90.00
_cell_angle_beta 90.00
_cell_angle_gamma 90.00
loop_
_symmetry_equiv_pos_as_xyz
'x,y,z'
loop_
_atom_site_label
_atom_site_fract_x
_atom_site_fract_y
_atom_site_fract_z
_atom_site_occupancy
Sr1 0.0000 0.0000 0.2363 1
Sr2 0.0000 0.0000 0.7637 1
Nd1 0.5000 0.5000 0.5000 1
Mg1 0.5000 0.5000 0.0000 1
```

***

[4]
## Sr3NdMg8 (GGA-PBE)

Data for a relaxed Sr3NdMg8 crystal.

- Mass density: 2.75 Mg/m³
- ΔH_f (0 K): -0.09 eV/atom

Cell and atoms, written as CIF:
```
data_Sr3NdMg8
_chemical_formula_sum 'Sr3 Nd1 Mg8'
_symmetry_space_group_name_H-M 'P 1'
_symmetry_Int_Tables_number 1
_cell_length_a 10.9890
_cell_length_b 10.9890
_cell_length_c 10.9890
_cell_angle_alpha 33.64
_cell_angle_beta 33.64
_cell_angle_gamma 33.64
loop_
_symmetry_equiv_pos_as_xyz
'x,y,z'
loop_
_atom_site_label
_atom_site_fract_x
_atom_site_fract_y
_atom_site_fract_z
_atom_site_occupancy
Sr1 0.0000 0.0000 0.0000 1
Sr2 0.1265 0.1265 0.1265 1
Sr3 0.5033 0.5033 0.5033 1
Nd1 0.6270 0.6270 0.6270 1
Mg1 0.0591 0.5641 0.5641 1
Mg2 0.0662 0.0662 0.5653 1
Mg3 0.0662 0.5653 0.0662 1
Mg4 0.3135 0.3135 0.3135 1
Mg5 0.5641 0.0591 0.5641 1
Mg6 0.5641 0.5641 0.0591 1
Mg7 0.5653 0.0662 0.0662 1
Mg8 0.8142 0.8142 0.8142 1
```

***

[5]
## TbNd9Mg2 (GGA-PBE)

Data for a relaxed TbNd9Mg2 crystal.

- Mass density: 6.34 Mg/m³
- ΔH_f (0 K): 0.00 eV/atom

Cell and atoms, written as CIF:
```
data_TbNd9Mg2
_chemical_formula_sum 'Tb1 Nd9 Mg2'
_symmetry_space_group_name_H-M 'P 1'
_symmetry_Int_Tables_number 1
_cell_length_a 5.0759
_cell_length_b 5.0759
_cell_length_c 15.3028
_cell_angle_alpha 90.00
_cell_angle_beta 90.00
_cell_angle_gamma 90.00
loop_
_symmetry_equiv_pos_as_xyz
'x,y,z'
loop_
_atom_site_label
_atom_site_fract_x
_atom_site_fract_y
_atom_site_fract_z
_atom_site_occupancy
Tb1 0.0000 0.0000 0.0000 1
Nd1 0.0000 0.5000 0.1701 1
Nd2 0.0000 0.5000 0.5000 1
Nd3 0.0000 0.5000 0.8299 1
Nd4 0.5000 0.0000 0.1701 1
Nd5 0.5000 0.0000 0.5000 1
Nd6 0.5000 0.0000 0.8299 1
Nd7 0.5000 0.5000 0.0000 1
Nd8 0.5000 0.5000 0.3357 1
Nd9 0.5000 0.5000 0.6643 1
Mg1 0.0000 0.0000 0.3369 1
Mg2 0.0000 0.0000 0.6631 1
```

***

[6]
## TbNd3Mg3 (GGA-PBE)

Data for a relaxed TbNd3Mg3 crystal.

- Mass density: 5.12 Mg/m³
- ΔH_f (0 K): 0.08 eV/atom

Cell and atoms, written as CIF:
```
data_TbNd3Mg3
_chemical_formula_sum 'Tb2 Nd6 Mg6'
_symmetry_space_group_name_H-M 'P 1'
_symmetry_Int_Tables_number 1
_cell_length_a 6.5468
_cell_length_b 6.5468
_cell_length_c 10.7914
_cell_angle_alpha 90.77
_cell_angle_beta 90.77
_cell_angle_gamma 111.15
loop_
_symmetry_equiv_pos_as_xyz
'x,y,z'
loop_
_atom_site_label
_atom_site_fract_x
_atom_site_fract_y
_atom_site_fract_z
_atom_site_occupancy
Tb1 0.2135 0.2135 0.4915 1
Tb2 0.7865 0.7865 0.5085 1
Nd1 0.0293 0.0293 0.8293 1
Nd2 0.2752 0.7248 0.5000 1
Nd3 0.3256 0.6744 0.0000 1
Nd4 0.6744 0.3256 0.0000 1
Nd5 0.7248 0.2752 0.5000 1
Nd6 0.9707 0.9707 0.1707 1
Mg1 0.0001 0.4847 0.2512 1
Mg2 0.9999 0.5153 0.7488 1
Mg3 0.4847 0.0001 0.2512 1
Mg4 0.4999 0.4999 0.2600 1
Mg5 0.5001 0.5001 0.7400 1
Mg6 0.5153 0.9999 0.7488 1
```

***

[7]
## Tb2NdMg6 (GGA-PBE)

Data for a relaxed Tb2NdMg6 crystal.

- Mass density: 4.22 Mg/m³
- ΔH_f (0 K): -0.08 eV/atom

Cell and atoms, written as CIF:
```
data_Tb2NdMg6
_chemical_formula_sum 'Tb2 Nd1 Mg6'
_symmetry_space_group_name_H-M 'P 1'
_symmetry_Int_Tables_number 1
_cell_length_a 9.1295
_cell_length_b 9.1295
_cell_length_c 3.3168
_cell_angle_alpha 90.00
_cell_angle_beta 90.00
_cell_angle_gamma 120.00
loop_
_symmetry_equiv_pos_as_xyz
'x,y,z'
loop_
_atom_site_label
_atom_site_fract_x
_atom_site_fract_y
_atom_site_fract_z
_atom_site_occupancy
Tb1 0.3333 0.6667 0.0000 1
Tb2 0.6667 0.3333 0.0000 1
Nd1 0.0000 0.0000 0.0000 1
Mg1 0.0000 0.3361 0.5000 1
Mg2 0.0000 0.6639 0.5000 1
Mg3 0.3361 0.0000 0.5000 1
Mg4 0.3361 0.3361 0.5000 1
Mg5 0.6639 0.0000 0.5000 1
Mg6 0.6639 0.6639 0.5000 1
```

***

[8]
## Tb5Nd6Mg (GGA-PBE)

Data for a relaxed Tb5Nd6Mg crystal.

- Mass density: 7.08 Mg/m³
- ΔH_f (0 K): 0.01 eV/atom

Cell and atoms, written as CIF:
```
data_Tb5Nd6Mg
_chemical_formula_sum 'Tb5 Nd6 Mg1'
_symmetry_space_group_name_H-M 'P 1'
_symmetry_Int_Tables_number 1
_cell_length_a 9.5298
_cell_length_b 9.5298
_cell_length_c 9.5298
_cell_angle_alpha 148.84
_cell_angle_beta 116.47
_cell_angle_gamma 72.45
loop_
_symmetry_equiv_pos_as_xyz
'x,y,z'
loop_
_atom_site_label
_atom_site_fract_x
_atom_site_fract_y
_atom_site_fract_z
_atom_site_occupancy
Tb1 0.0000 0.0000 0.0000 1
Tb2 0.1645 0.6645 0.5000 1
Tb3 0.3304 0.3304 0.0000 1
Tb4 0.6696 0.6696 0.0000 1
Tb5 0.8355 0.3355 0.5000 1
Nd1 0.0868 0.8338 0.2529 1
Nd2 0.2527 0.5000 0.7527 1
Nd3 0.4191 0.1662 0.2529 1
Nd4 0.5809 0.8338 0.7471 1
Nd5 0.7473 0.5000 0.2473 1
Nd6 0.9132 0.1662 0.7471 1
Mg1 0.5000 0.0000 0.5000 1
```

***

[9]
## Tb2Nd3Mg3 (GGA-PBE)

Data for a relaxed Tb2Nd3Mg3 crystal.

- Mass density: 5.67 Mg/m³
- ΔH_f (0 K): -0.07 eV/atom

Cell and atoms, written as CIF:
```
data_Tb2Nd3Mg3
_chemical_formula_sum 'Tb4 Nd6 Mg6'
_symmetry_space_group_name_H-M 'P 1'
_symmetry_Int_Tables_number 1
_cell_length_a 3.8291
_cell_length_b 5.5538
_cell_length_c 22.6898
_cell_angle_alpha 90.00
_cell_angle_beta 90.00
_cell_angle_gamma 90.00
loop_
_symmetry_equiv_pos_as_xyz
'x,y,z'
loop_
_atom_site_label
_atom_site_fract_x
_atom_site_fract_y
_atom_site_fract_z
_atom_site_occupancy
Tb1 0.0000 0.0000 0.2359 1
Tb2 0.0000 0.0000 0.7641 1
Tb3 0.5000 0.5000 0.2641 1
Tb4 0.5000 0.5000 0.7359 1
Nd1 0.0000 0.0000 0.0000 1
Nd2 0.0000 0.5000 0.1252 1
Nd3 0.0000 0.5000 0.8748 1
Nd4 0.5000 0.0000 0.3748 1
Nd5 0.5000 0.0000 0.6252 1
Nd6 0.5000 0.5000 0.5000 1
Mg1 0.0000 0.0000 0.5000 1
Mg2 0.0000 0.5000 0.3809 1
Mg3 0.0000 0.5000 0.6191 1
Mg4 0.5000 0.0000 0.1191 1
Mg5 0.5000 0.0000 0.8809 1
Mg6 0.5000 0.5000 0.0000 1
```

***

[10]
## TbNd3Mg4 (GGA-PBE)

Data for a relaxed TbNd3Mg4 crystal.

- Mass density: 4.94 Mg/m³
- ΔH_f (0 K): -0.10 eV/atom

Cell and atoms, written as CIF:
```
data_TbNd3Mg4
_chemical_formula_sum 'Tb1 Nd3 Mg4'
_symmetry_space_group_name_H-M 'P 1'
_symmetry_Int_Tables_number 1
_cell_length_a 3.8638
_cell_length_b 3.8638
_cell_length_c 15.5017
_cell_angle_alpha 90.00
_cell_angle_beta 90.00
_cell_angle_gamma 90.00
loop_
_symmetry_equiv_pos_as_xyz
'x,y,z'
loop_
_atom_site_label
_atom_site_fract_x
_atom_site_fract_y
_atom_site_fract_z
_atom_site_occupancy
Tb1 0.0000 0.0000 0.0000 1
Nd1 0.0000 0.0000 0.2457 1
Nd2 0.0000 0.0000 0.5000 1
Nd3 0.0000 0.0000 0.7543 1
Mg1 0.5000 0.5000 0.1194 1
Mg2 0.5000 0.5000 0.3727 1
Mg3 0.5000 0.5000 0.6273 1
Mg4 0.5000 0.5000 0.8806 1
```

***

[11]
## Tb4Nd5Mg2 (GGA-PBE)

Data for a relaxed Tb4Nd5Mg2 crystal.

- Mass density: 6.56 Mg/m³
- ΔH_f (0 K): 0.05 eV/atom

Cell and atoms, written as CIF:
```
data_Tb4Nd5Mg2
_chemical_formula_sum 'Tb4 Nd5 Mg2'
_symmetry_space_group_name_H-M 'P 1'
_symmetry_Int_Tables_number 1
_cell_length_a 11.4354
_cell_length_b 11.4354
_cell_length_c 8.8684
_cell_angle_alpha 93.58
_cell_angle_beta 93.58
_cell_angle_gamma 17.91
loop_
_symmetry_equiv_pos_as_xyz
'x,y,z'
loop_
_atom_site_label
_atom_site_fract_x
_atom_site_fract_y
_atom_site_fract_z
_atom_site_occupancy
Tb1 0.0731 0.0731 0.2174 1
Tb2 0.2896 0.2896 0.6806 1
Tb3 0.7104 0.7104 0.3194 1
Tb4 0.9269 0.9269 0.7826 1
Nd1 0.1330 0.1330 0.5977 1
Nd2 0.1828 0.1828 0.9733 1
Nd3 0.5000 0.5000 0.5000 1
Nd4 0.8172 0.8172 0.0267 1
Nd5 0.8670 0.8670 0.4023 1
Mg1 0.4464 0.4464 0.1208 1
Mg2 0.5536 0.5536 0.8792 1
```

***

[12]
## TbNd2Mg (GGA-PBE)

Data for a relaxed TbNd2Mg crystal.

- Mass density: 6.19 Mg/m³
- ΔH_f (0 K): -0.03 eV/atom

Cell and atoms, written as CIF:
```
data_TbNd2Mg
_chemical_formula_sum 'Tb1 Nd2 Mg1'
_symmetry_space_group_name_H-M 'P 1'
_symmetry_Int_Tables_number 1
_cell_length_a 3.7304
_cell_length_b 3.7304
_cell_length_c 9.0928
_cell_angle_alpha 90.00
_cell_angle_beta 90.00
_cell_angle_gamma 90.00
loop_
_symmetry_equiv_pos_as_xyz
'x,y,z'
loop_
_atom_site_label
_atom_site_fract_x
_atom_site_fract_y
_atom_site_fract_z
_atom_site_occupancy
Tb1 0.0000 0.0000 0.0000 1
Nd1 0.5000 0.5000 0.2705 1
Nd2 0.5000 0.5000 0.7295 1
Mg1 0.0000 0.0000 0.5000 1
```

***

Number 1: energy -11.9 eV per formula unit, spin magnetization 0.00 μB/f.u.. Number 2: energy -9.1 eV per formula unit, spin magnetization 0.14 μB/f.u.. Number 3: energy -9.3 eV per formula unit, spin magnetization 0.00 μB/f.u.. Number 4: energy -23.7 eV per formula unit, spin magnetization 0.00 μB/f.u.. Number 5: energy -50.7 eV per formula unit, spin magnetization 0.00 μB/f.u.. Number 6: energy -23.2 eV per formula unit, spin magnetization 0.81 μB/f.u.. Number 7: energy -24.4 eV per formula unit, spin magnetization 0.00 μB/f.u.. Number 8: energy -53.2 eV per formula unit, spin magnetization 0.00 μB/f.u.. Number 9: energy -28.9 eV per formula unit, spin magnetization 0.00 μB/f.u.. Number 10: energy -26.1 eV per formula unit, spin magnetization 0.00 μB/f.u.. Number 11: energy -45.0 eV per formula unit, spin magnetization 0.00 μB/f.u.. Number 12: energy -15.9 eV per formula unit, spin magnetization 0.00 μB/f.u..